Density functional theory data (PBE-GGA) for crystalline MgCd2InF at its relaxed geometry.

Values from the calculation:
Its space-group type is P4/mmm. The formation energy without anion corrections is -0.7027 eV per atom.

```
MgCd2InF
1.0
5.5808 0.0000 0.0000
0.0000 3.7555 0.0000
0.0000 0.0000 5.5808
Mg Cd F In
1 2 1 1
Direct
0.0000 0.5000 0.0000
0.0000 0.0000 0.5000
0.5000 0.0000 0.0000
0.0000 0.0000 0.0000
0.5000 0.5000 0.5000
```



Density functional theory data (PBE-GGA) for crystalline ZrAl4Si at its relaxed geometry.

Values from the calculation:
Its space-group type is P6/mmm. The formation energy without anion corrections is -0.0970 eV per atom. As for the offset from the most stable computed form: 17.0 meV per atom.

```
ZrAl4Si
1.0
2.2941 -3.9734 0.0000
2.2941 3.9734 0.0000
0.0000 0.0000 5.6592
Zr Al Si
1 4 1
Direct
0.0000 0.0000 0.0000
0.3333 0.6667 0.2685
0.3333 0.6667 0.7315
0.6667 0.3333 0.2685
0.6667 0.3333 0.7315
0.0000 0.0000 0.5000
```



Density functional theory data (PBE-GGA) for crystalline CsInF2 at its relaxed geometry.

Values from the calculation:
Its space-group type is P4/mmm. The formation energy without anion corrections is -1.9609 eV per atom. As for the offset from the most stable computed form: 242.9 meV per atom.

```
CsInF2
1.0
-0.2355 -3.4373 -0.7586
2.7228 0.3040 -2.2226
4.5263 -1.4888 5.3413
Cs F In
1 2 1
Direct
0.5000 0.5000 0.5000
0.0000 0.0000 0.7599
0.0000 0.0000 0.2401
0.5000 0.5000 0.0000
```



Density functional theory data (PBE-GGA) for crystalline Tb6Pm3Er2Zr at its relaxed geometry.

Values from the calculation:
Its formation energy is 0.04 eV/atom. Its space-group type is C2/m.

```
Tb6Pm3Er2Zr
1.0
6.1258 0.0039 0.0029
-3.0581 5.3079 0.0029
-1.0188 -1.7640 11.5378
Tb Pm Er Zr
6 3 2 1
Direct
0.9195 0.5925 0.7585
0.7538 0.7538 0.2410
0.0805 0.4075 0.2415
0.5925 0.9195 0.7585
0.2462 0.2462 0.7590
0.4075 0.0805 0.2415
0.1662 0.8338 0.5000
0.8338 0.1662 0.5000
0.5000 0.5000 0.5000
0.3331 0.6669 0.0000
0.6669 0.3331 0.0000
0.0000 0.0000 0.0000
```



Density functional theory data (PBE-GGA) for crystalline Sc4Si2N at its relaxed geometry.

Values from the calculation:
Its space-group type is I4/mmm. The formation energy without anion corrections is -1.0085 eV per atom.

```
Sc4Si2N
1.0
4.2333 0.0000 0.0000
0.0000 4.2333 0.0000
2.1167 2.1167 7.1002
Sc Si N
4 2 1
Direct
0.1651 0.1651 0.6698
0.8349 0.8349 0.3302
0.0000 0.5000 0.0000
0.5000 0.0000 0.0000
0.3605 0.3605 0.2790
0.6395 0.6395 0.7210
0.0000 0.0000 0.0000
```



Density functional theory data (PBE-GGA) for crystalline SrIn3N at its relaxed geometry.

Values from the calculation:
Its space-group type is Pm-3m. The formation energy without anion corrections is 0.3208 eV per atom. As for the offset from the most stable computed form: 0.0 meV per atom.

```
SrIn3N
1.0
-2.6121 -0.4365 -4.2483
3.1012 -3.6177 -1.5351
-2.9362 -3.4327 2.1580
Sr N In
1 1 3
Direct
0.5000 0.5000 0.5000
0.0000 0.0000 0.0000
0.0000 0.5000 0.0000
0.0000 0.0000 0.5000
0.5000 0.0000 0.0000
```



Density functional theory data (PBE-GGA) for crystalline NbReRh6 at its relaxed geometry.

Values from the calculation:
Its formation energy is 0.54 eV/atom. Its space-group type is R-3m.

```
NbReRh6
1.0
5.1261 0.4327 0.4894
-0.1298 5.1427 0.4894
-0.1298 -0.1448 5.1639
Nb Re Rh
1 1 6
Direct
0.5000 0.5000 0.5000
0.0000 0.0000 0.0000
0.1625 0.5440 0.1625
0.1625 0.1625 0.5440
0.8375 0.4560 0.8375
0.4560 0.8375 0.8375
0.8375 0.8375 0.4560
0.5440 0.1625 0.1625
```



Density functional theory data (PBE-GGA) for crystalline Ac2Nd2Tl3 at its relaxed geometry.

Values from the calculation:
Its formation energy is -0.24 eV/atom. Its space-group type is P-1.

```
Ac2Nd2Tl3
1.0
3.8503 0.4482 0.5999
-0.8902 8.2546 -0.5278
0.9281 -1.4099 7.8350
Ac Nd Tl
2 2 3
Direct
0.7051 0.8138 0.5909
0.2949 0.1862 0.4091
0.5660 0.2662 0.8685
0.4340 0.7338 0.1315
0.0000 0.0000 0.0000
0.8857 0.4523 0.2285
0.1143 0.5477 0.7715
```



Density functional theory data (PBE-GGA) for crystalline SmHfTe4 at its relaxed geometry.

Values from the calculation:
Its space-group type is C2/m. The formation energy without anion corrections is -0.7637 eV per atom.

```
SmHfTe4
1.0
5.9432 0.0000 0.0000
-2.9716 9.1368 0.0731
0.0000 -2.6923 8.9603
Sm Hf Te
2 2 8
Direct
0.2203 0.4406 0.3154
0.7797 0.5594 0.6846
0.1031 0.2062 0.6843
0.8969 0.7938 0.3157
0.0586 0.1172 0.3623
0.1350 0.2699 0.9867
0.7370 0.4741 0.3248
0.6074 0.2149 0.6922
0.3926 0.7851 0.3078
0.2630 0.5259 0.6752
0.8650 0.7301 0.0133
0.9414 0.8828 0.6377
```



Density functional theory data (PBE-GGA) for crystalline ScPa2Co9 at its relaxed geometry.

Values from the calculation:
Its formation energy is -0.25 eV/atom. Its space-group type is R-3m.

```
ScPa2Co9
1.0
-0.5417 4.4407 -1.7905
-4.3825 1.5867 -1.2228
-2.6950 4.9329 6.5657
Sc Pa Co
1 2 9
Direct
0.0000 0.0000 0.0000
0.8628 0.8628 0.4116
0.1372 0.1372 0.5884
0.6671 0.6671 0.9986
0.3329 0.3329 0.0014
0.5000 0.5000 0.5000
0.4196 0.4196 0.2423
0.9185 0.4196 0.2423
0.4196 0.9185 0.2423
0.5804 0.5804 0.7577
0.5804 0.0815 0.7577
0.0815 0.5804 0.7577
```



Density functional theory data (PBE-GGA) for crystalline TlCd2Cl at its relaxed geometry.

Values from the calculation:
Its space-group type is P4/mmm. The formation energy without anion corrections is -0.1713 eV per atom. As for the offset from the most stable computed form: 152.5 meV per atom.

```
TlCd2Cl
1.0
-5.1995 1.1051 1.2204
-1.3537 -0.5682 -5.2526
-0.6005 -3.4025 0.5228
Tl Cl Cd
1 1 2
Direct
0.0000 0.5000 0.5000
0.5000 0.0000 0.5000
0.0000 0.0000 0.0000
0.5000 0.5000 0.0000
```